AcLa3Ce2S6: relaxed, GGA-PBE.

## Properties
Uncorrected formation energy, eV per atom: -2.086
Space group: C2/m

Cell: 7.1739 7.1739 7.1905 Å, 99.62 99.62 120.02°
Closest atoms and distances in Å follow each position.
Fractional coordinates of all 12 atoms:
Ac 0.0000 0.0000 0.0000  6 S 2.97-2.98
La 0.1636 0.8364 0.5000  6 S 2.90-2.97
La 0.8364 0.1636 0.5000  6 S 2.90-2.97
La 0.5000 0.5000 0.5000  6 S 2.89-2.96
Ce 0.3331 0.6669 0.0000  6 S 2.89-2.90
Ce 0.6669 0.3331 0.0000  6 S 2.89-2.90
S 0.9169 0.5740 0.7510  2 Ce 2.90, 3 La 2.90-2.97, 1 Ac 2.98
S 0.7385 0.7385 0.2453  2 Ce 2.89, 3 La 2.89-2.95, 1 Ac 2.97
S 0.0831 0.4260 0.2490  2 Ce 2.90, 3 La 2.90-2.97, 1 Ac 2.98
S 0.5740 0.9169 0.7510  2 Ce 2.90, 3 La 2.90-2.97, 1 Ac 2.98
S 0.2615 0.2615 0.7547  2 Ce 2.89, 3 La 2.89-2.95, 1 Ac 2.97
S 0.4260 0.0831 0.2490  2 Ce 2.90, 3 La 2.90-2.97, 1 Ac 2.98



Zn2CuAu: relaxed, GGA-PBE.

## Properties
Electronic total energy, eV per atom: -2.424
Space group: I-42d

Cell: 3.7741 3.7741 9.5516 Å, 78.61 78.61 90.00°
Closest atoms and distances in Å follow each position.
Fractional coordinates of all 8 atoms:
Zn 0.6163 0.1250 0.2500  4 Zn 2.62-2.72, 2 Cu 2.64, 2 Au 2.66
Zn 0.1337 0.6250 0.2500  4 Zn 2.62-2.72, 2 Cu 2.64, 2 Au 2.66
Zn 0.3750 0.3837 0.7500  4 Zn 2.62-2.72, 2 Cu 2.64, 2 Au 2.66
Zn 0.8750 0.8663 0.7500  4 Zn 2.62-2.72, 2 Cu 2.64, 2 Au 2.66
Au 0.0000 0.0000 0.0000  4 Zn 2.66, 4 Cu 2.67
Au 0.7500 0.2500 0.5000  4 Zn 2.66, 4 Cu 2.67
Cu 0.5000 0.5000 0.0000  4 Zn 2.64, 4 Au 2.67
Cu 0.2500 0.7500 0.5000  4 Zn 2.64, 4 Au 2.67



BaPu2ClO4: relaxed, GGA-PBE.

## Properties
Uncorrected formation energy, eV per atom: -2.662
Space group: P4/mmm

Cell: 4.0059 4.0059 9.7422 Å, 90.00 90.00 90.00°
Closest atoms and distances in Å follow each position.
Fractional coordinates of all 8 atoms:
Ba 0.0000 0.0000 0.0000  8 O 2.73
Pu 0.5000 0.5000 0.2788  4 O 2.18
Pu 0.5000 0.5000 0.7212  4 O 2.18
Cl 0.0000 0.0000 0.5000  8 Pu 3.56, 8 O 3.62
O 0.0000 0.5000 0.1911  2 Pu 2.18
O 0.5000 0.0000 0.8089  2 Pu 2.18
O 0.5000 0.0000 0.1911  2 Pu 2.18
O 0.0000 0.5000 0.8089  2 Pu 2.18



Sc3AlN: relaxed, GGA-PBE.

## Properties
Uncorrected formation energy, eV per atom: -0.716
Space group: Cmce

Cell: 20.6511 5.8933 8.0959 Å, 90.00 158.71 90.00°
Closest atoms and distances in Å follow each position.
Fractional coordinates of all 20 atoms:
Sc 0.2421 0.0104 0.7421  1 N 2.26
Sc 0.7579 0.9896 0.2579  1 N 2.26
Sc 0.2579 0.5104 0.7579  1 N 2.26
Sc 0.7421 0.4896 0.2421  1 N 2.26
Sc 0.3606 0.2500 0.3606  2 N 2.30
Sc 0.6394 0.7500 0.6394  2 N 2.30
Sc 0.1394 0.7500 0.1394  2 N 2.30
Sc 0.8606 0.2500 0.8606  2 N 2.30
Sc 0.5467 0.7772 0.0468  1 N 2.13
Sc 0.4533 0.2228 0.9532  1 N 2.13
Sc 0.9533 0.2772 0.4532  1 N 2.13
Sc 0.0467 0.7228 0.5468  1 N 2.13
Al 0.4185 0.7500 0.4185  9 Sc 2.79-3.05
Al 0.5815 0.2500 0.5815  9 Sc 2.79-3.05
Al 0.0815 0.2500 0.0815  9 Sc 2.79-3.05
Al 0.9185 0.7500 0.9185  9 Sc 2.79-3.05
N 0.1104 0.3250 0.6105  4 Sc 2.13-2.30
N 0.8896 0.6750 0.3895  4 Sc 2.13-2.30
N 0.3896 0.8250 0.8895  4 Sc 2.13-2.30
N 0.6105 0.1750 0.1105  4 Sc 2.13-2.30



Ho5Sn2Hg2: relaxed, GGA-PBE.

## Properties
Electronic total energy, eV per atom: -4.021
Space group: Cmce

Cell: 7.8095 8.1819 8.8440 Å, 117.55 90.00 90.00°
Closest atoms and distances in Å follow each position.
Fractional coordinates of all 18 atoms:
Ho 0.0000 0.0000 0.0000  4 Hg 3.08-3.17, 2 Sn 3.22
Ho 0.5000 0.5000 0.0000  4 Hg 3.08-3.17, 2 Sn 3.22
Ho 0.8351 0.8111 0.2762  3 Sn 3.11-3.16, 3 Hg 3.12-3.32
Ho 0.1649 0.4651 0.2762  3 Sn 3.11-3.16, 3 Hg 3.12-3.32
Ho 0.3351 0.9651 0.2762  3 Sn 3.11-3.16, 3 Hg 3.12-3.32
Ho 0.6649 0.3110 0.2762  3 Sn 3.11-3.16, 3 Hg 3.12-3.32
Ho 0.1649 0.1890 0.7238  3 Sn 3.11-3.16, 3 Hg 3.12-3.32
Ho 0.8351 0.5349 0.7238  3 Sn 3.11-3.16, 3 Hg 3.12-3.32
Ho 0.6649 0.0349 0.7238  3 Sn 3.11-3.16, 3 Hg 3.12-3.32
Ho 0.3351 0.6889 0.7238  3 Sn 3.11-3.16, 3 Hg 3.12-3.32
Sn 0.0000 0.2056 0.4113  7 Ho 3.11-3.22
Sn 0.5000 0.7056 0.4113  7 Ho 3.11-3.22
Sn 0.0000 0.7944 0.5887  7 Ho 3.11-3.22
Sn 0.5000 0.2944 0.5887  7 Ho 3.11-3.22
Hg 0.6307 0.8668 0.0000  1 Hg 2.99, 8 Ho 3.08-3.32
Hg 0.3693 0.1332 0.0000  1 Hg 2.99, 8 Ho 3.08-3.32
Hg 0.1307 0.6332 0.0000  1 Hg 2.99, 8 Ho 3.08-3.32
Hg 0.8693 0.3668 0.0000  1 Hg 2.99, 8 Ho 3.08-3.32



BeCdBIrAu: relaxed, GGA-PBE.

## Properties
Electronic total energy, eV per atom: -4.717
Space group: Pm

Cell: 2.8037 2.9783 8.3937 Å, 90.00 99.79 90.00°
Closest atoms and distances in Å follow each position.
Fractional coordinates of all 5 atoms:
Be 0.1522 0.5000 0.6147  1 B 2.36, 4 Au 2.54-2.55, 4 Ir 2.55-2.56
B 0.2957 0.5000 0.9005  4 Ir 2.21, 1 Be 2.36
Ir 0.7441 0.0000 0.7999  4 B 2.21
Au 0.5579 0.0000 0.4319  4 Be 2.54-2.55, 2 Au 2.80
Cd 0.9196 0.5000 0.1507  2 B 2.49-2.50



PuPa2Co: relaxed, GGA-PBE.

## Properties
Electronic total energy, eV per atom: -10.133
Space group: P4/mmm

Cell: 3.4744 3.4744 6.8807 Å, 90.00 90.00 90.00°
Closest atoms and distances in Å follow each position.
Fractional coordinates of all 4 atoms:
Pa 0.0000 0.0000 0.7867  4 Co 2.86, 1 Pa 2.94, 4 Pu 3.15
Pa 0.0000 0.0000 0.2133  4 Co 2.86, 1 Pa 2.94, 4 Pu 3.15
Co 0.5000 0.5000 0.0000  8 Pa 2.86
Pu 0.5000 0.5000 0.5000  8 Pa 3.15, 2 Co 3.44, 4 Pu 3.47



NaGa4Au6: relaxed, GGA-PBE.

## Properties
Electronic total energy, eV per atom: -3.189
Space group: I-42m

Cell: 6.8571 6.8571 6.8571 Å, 93.20 118.17 118.17°
Closest atoms and distances in Å follow each position.
Fractional coordinates of all 11 atoms:
Na 0.0000 0.0000 0.0000  4 Ga 3.31, 8 Au 3.52-3.56
Ga 0.0000 0.1315 0.5424  4 Au 2.47-2.67
Ga 0.5891 0.4576 0.4576  4 Au 2.47-2.67
Ga 0.0000 0.5424 0.1315  4 Au 2.47-2.67
Ga 0.4109 0.8685 0.8685  4 Au 2.47-2.67
Au 0.0000 0.7769 0.4564  4 Ga 2.47-2.67
Au 0.0000 0.4564 0.7769  4 Ga 2.47-2.67
Au 0.6795 0.2231 0.2231  4 Ga 2.47-2.67
Au 0.5000 0.0000 0.5000  4 Au 2.87, 4 Ga 2.96
Au 0.3205 0.5436 0.5436  4 Ga 2.47-2.67
Au 0.5000 0.5000 0.0000  4 Au 2.87, 4 Ga 2.96



Number 1: DOS(E_F) 1.205 states/eV/atom, mass density 6.1 g/cm³. Number 2: DOS(E_F) 0.376 states/eV/atom, mass density 9.9 g/cm³. Number 3: DOS(E_F) 1.981 states/eV/atom, mass density 7.7 g/cm³. Number 4: DOS(E_F) 0.655 states/eV/atom, mass density 3.3 g/cm³. Number 5: DOS(E_F) 1.138 states/eV/atom, mass density 9.7 g/cm³. Number 6: DOS(E_F) 0.277 states/eV/atom, mass density 12.5 g/cm³. Number 7: DOS(E_F) 2.315 states/eV/atom, mass density 15.3 g/cm³. Number 8: DOS(E_F) 0.340 states/eV/atom, mass density 10.5 g/cm³.